AgBSeBr2 | PBE | relaxed

Cell lengths 5.287, 5.287, 4.022 Å; angles 90.00, 90.00, 90.00 degrees
Sites, in units of the cell vectors:
B1 0.000 0.000 0.000
Se1 0.000 0.000 0.500
Br1 0.000 0.500 0.000
Br2 0.500 0.000 0.000
Ag1 0.500 0.500 0.500

Properties
Its formation energy from raw total energies is 0.590 eV per atom. As for the space group: P4/mmm (123). As for the total moment: 0.0 Bohr magnetons per cell. The energy above the lowest structure with this stoichiometry comes out at 0 meV per atom. The density of states at the Fermi level is 3.9 states/eV/cell. The total energy comes out at -13.410 eV for the cell shown.



AgBSeBr2 | PBE | relaxed

Cell lengths 5.291, 5.291, 5.155 Å; angles 90.00, 90.00, 90.00 degrees
Site moments in Bohr magnetons follow the coordinates.
Sites, in units of the cell vectors:
B1 0.500 0.500 0.500  -0.03
Se1 0.000 0.000 0.500  0.44
Br1 0.000 0.500 0.000  0.07
Br2 0.500 0.000 0.000  0.07
Ag1 0.000 0.000 0.000  0.04

Properties
Its formation energy from raw total energies is 1.125 eV per atom. As for the space group: P4/mmm (123). As for the total moment: 0.9 Bohr magnetons per cell. The energy above the lowest structure with this stoichiometry comes out at 535 meV per atom. The density of states at the Fermi level is 5.1 states/eV/cell. The total energy comes out at -10.733 eV for the cell shown.



TiAgB2Br | PBE | relaxed

Cell lengths 4.032, 6.316, 4.032 Å; angles 90.00, 90.00, 90.00 degrees
Site moments in Bohr magnetons follow the coordinates.
Sites, in units of the cell vectors:
B1 0.000 0.000 0.500  0.04
B2 0.500 0.000 0.000  0.02
Br1 0.000 0.500 0.000  0.04
Ag1 0.000 0.000 0.000  0.01
Ti1 0.500 0.500 0.500  -0.22

Properties
Its formation energy from raw total energies is 1.534 eV per atom. As for the space group: P4/mmm (123). As for the total moment: 0.0 Bohr magnetons per cell. The density of states at the Fermi level is 6.7 states/eV/cell. The total energy comes out at -18.102 eV for the cell shown.



TlAgB2Br | PBE | relaxed

Cell lengths 4.295, 7.777, 4.295 Å; angles 90.00, 90.00, 90.00 degrees
Sites, in units of the cell vectors:
Tl1 0.000 0.000 0.000
B1 0.000 0.000 0.500
B2 0.500 0.000 0.000
Br1 0.000 0.500 0.000
Ag1 0.500 0.500 0.500

Properties
Its formation energy from raw total energies is 1.661 eV per atom. As for the space group: P4/mmm (123). As for the total moment: 0.0 Bohr magnetons per cell. The density of states at the Fermi level is 3.5 states/eV/cell. The total energy comes out at -11.942 eV for the cell shown.



TlAgB2Br8 | PBE | relaxed

Cell lengths 6.491, 6.491, 10.342 Å; angles 71.71, 71.71, 60.00 degrees
Sites, in units of the cell vectors:
Tl1 0.500 0.500 0.500
Ag1 0.000 0.000 0.000
B1 0.249 0.249 0.252
B2 0.751 0.751 0.748
Br1 0.179 0.179 0.462
Br2 0.562 0.287 0.184
Br3 0.821 0.821 0.538
Br4 0.967 0.562 0.184
Br5 0.033 0.438 0.816
Br6 0.287 0.967 0.184
Br7 0.713 0.033 0.816
Br8 0.438 0.713 0.816

Properties
Its formation energy from raw total energies is -0.496 eV per atom. As for the space group: R-3 (148). As for the total moment: 0.0 Bohr magnetons per cell. The density of states at the Fermi level is 0.0 states/eV/cell. The total energy comes out at -37.905 eV for the cell shown.



Ag3BC | PBE | relaxed

Cell lengths 4.295, 4.295, 4.295 Å; angles 90.00, 90.00, 90.00 degrees
Sites, in units of the cell vectors:
C1 0.000 0.000 0.000
B1 0.500 0.500 0.500
Ag1 0.000 0.500 0.000
Ag2 0.000 0.000 0.500
Ag3 0.500 0.000 0.000

Properties
As for the formation energy: 717 kJ/mol of formula units. As for the space group: Pm-3m (221). As for the total moment: 0.0 Bohr magnetons per cell. The energy above the lowest structure with this stoichiometry comes out at 0 meV per atom. The density of states at the Fermi level is 0.8 states/eV/cell. The total energy comes out at -17.020 eV for the cell shown.



AgBC | PBE | relaxed

Cell lengths 4.144, 4.144, 5.719 Å; angles 90.00, 90.00, 120.00 degrees
Sites, in units of the cell vectors:
C1 0.000 0.000 0.000
C2 0.000 0.000 0.500
B1 0.000 0.000 0.250
B2 0.000 0.000 0.750
Ag1 0.333 0.667 0.250
Ag2 0.667 0.333 0.750

Properties
As for the formation energy: 204 kJ/mol of formula units. As for the space group: P6_3/mmc (194). As for the total moment: 0.0 Bohr magnetons per cell. The energy above the lowest structure with this stoichiometry comes out at 316 meV per atom. The density of states at the Fermi level is 0.6 states/eV/cell. The total energy comes out at -33.272 eV for the cell shown.



AgBC | PBE | relaxed

Cell lengths 5.501, 3.363, 5.557 Å; angles 126.70, 98.42, 77.85 degrees
Sites, in units of the cell vectors:
C1 0.997 0.839 0.316
C2 0.221 0.646 0.177
B1 0.230 0.996 0.525
B2 0.348 0.296 0.873
Ag1 0.642 0.940 0.071
Ag2 0.700 0.946 0.580

Properties
As for the formation energy: 242 kJ/mol of formula units. As for the space group: P1 (1). As for the total moment: 0.0 Bohr magnetons per cell. The energy above the lowest structure with this stoichiometry comes out at 447 meV per atom. The density of states at the Fermi level is 0.9 states/eV/cell. The total energy comes out at -32.487 eV for the cell shown.